*P*
The following is a DFT calculation (GGA-PBE) of crystalline As2WBrCl at its relaxed geometry. Values from VASP.

Geometry as Quantum ESPRESSO input:
```
&SYSTEM
  ibrav = 0, nat = 5, ntyp = 4
/
ATOMIC_SPECIES
As 74.92 As.upf
Br 79.90 Br.upf
W 183.84 W.upf
Cl 35.45 Cl.upf
CELL_PARAMETERS angstrom
4.8994 0.0000 0.0000
0.0000 4.8994 0.0000
0.0000 0.0000 5.0819
ATOMIC_POSITIONS angstrom
As 2.4497 0.0000 0.0000
As 0.0000 2.4497 0.0000
Br 0.0000 0.0000 2.5410
W 0.0000 0.0000 0.0000
Cl 2.4497 2.4497 2.5410
```

***

*Q*
The following is a DFT calculation (GGA-PBE) of crystalline As2WBrCl at its relaxed geometry. Values from VASP.

Geometry as Quantum ESPRESSO input:
```
&SYSTEM
  ibrav = 0, nat = 5, ntyp = 4
/
ATOMIC_SPECIES
Cl 35.45 Cl.upf
As 74.92 As.upf
Br 79.90 Br.upf
W 183.84 W.upf
CELL_PARAMETERS angstrom
4.9207 0.0000 0.0000
0.0000 4.9207 0.0000
0.0000 0.0000 4.8608
ATOMIC_POSITIONS angstrom
Cl 0.0000 0.0000 0.0000
As 0.0000 2.4603 0.0000
As 2.4603 0.0000 0.0000
Br 0.0000 0.0000 2.4304
W 2.4603 2.4603 2.4304
```

***

Short version: *P*, *Q*, most stable first.